Li3FeP2O8: PBEsol geometry, meta-GGA SCAN.

Unit cell a=4.637 b=5.085 c=13.315 alpha=98.37 beta=90.00 gamma=117.12
Fractional positions:
Li1 0.045 0.000 0.750
Li2 0.955 0.000 0.250
Li3 0.701 0.336 0.658
Li4 0.635 0.336 0.158
Li5 0.365 0.664 0.842
Li6 0.299 0.664 0.342
Fe1 0.000 0.000 0.500
Fe2 0.000 0.000 0.000
P1 0.676 0.314 0.885
P2 0.639 0.314 0.385
P3 0.361 0.686 0.615
P4 0.324 0.686 0.115
O1 0.803 0.076 0.865
O2 0.273 0.076 0.365
O3 0.727 0.924 0.635
O4 0.197 0.924 0.135
O5 0.439 0.224 0.969
O6 0.785 0.224 0.469
O7 0.215 0.776 0.531
O8 0.561 0.776 0.031
O9 0.494 0.326 0.790
O10 0.831 0.326 0.290
O11 0.169 0.674 0.710
O12 0.506 0.674 0.210
O13 0.345 0.372 0.584
O14 0.027 0.372 0.084
O15 0.973 0.628 0.916
O16 0.655 0.628 0.416

Results
Formation energy without anion corrections in kJ/mol of formula units: -3268
Total magnetic moment in μB per cell: 10.00
Space-group type: No. 15
Distance to the lowest polymorph of the same formula in meV per atom: 3